# 1
Computed, not measured: a relaxed structure of TlCuAs2Ir at the PBE level of DFT.

Properties
* spin magnetization: 0.0 Bohr magnetons per cell
* volume: 22.9 Å³/atom
* DFT total energy: -4.55 eV/atom

```
data_TlCuAs2Ir
_chemical_formula_sum 'Tl1 Cu1 As2 Ir1'
_cell_length_a 4.7765
_cell_length_b 4.7765
_cell_length_c 5.0268
_cell_angle_alpha 90.00
_cell_angle_beta 90.00
_cell_angle_gamma 90.00
_symmetry_space_group_name_H-M 'P 4/m m m'
_symmetry_Int_Tables_number 123
_symmetry_space_group_name_Hall '-P 4 2'
loop_
_atom_site_label
_atom_site_fract_x
_atom_site_fract_y
_atom_site_fract_z
Tl1 0.0000 0.0000 0.0000
Cu1 0.5000 0.5000 0.0000
As1 0.0000 0.5000 0.5000
Ir1 0.5000 0.5000 0.5000
```

---

# 2
Computed, not measured: a relaxed structure of Ce6Co2PtBr3 at the PBE level of DFT.

Properties
* spin magnetization: 11.5 Bohr magnetons per cell
* volume: 26.8 Å³/atom
* E_form (uncorrected): -849 meV/atom
* DFT total energy: -5.92 eV/atom

```
data_Ce6Co2PtBr3
_chemical_formula_sum 'Ce12 Co4 Pt2 Br6'
_cell_length_a 7.0052
_cell_length_b 12.1099
_cell_length_c 7.9447
_cell_angle_alpha 90.00
_cell_angle_beta 107.12
_cell_angle_gamma 90.00
_symmetry_space_group_name_H-M 'C 1 2/m 1'
_symmetry_Int_Tables_number 12
loop_
_symmetry_equiv_pos_as_xyz
'x,y,z'
'-x,-y,-z'
'-x,y,-z'
'x,-y,z'
'x+1/2,y+1/2,z'
'-x+1/2,-y+1/2,-z'
'-x+1/2,y+1/2,-z'
'x+1/2,-y+1/2,z'
loop_
_atom_site_label
_atom_site_fract_x
_atom_site_fract_y
_atom_site_fract_z
Ce1 0.2128 0.0000 0.1926
Ce2 0.2397 0.3243 0.1939
Co1 0.0000 0.1667 0.0000
Pt1 0.0000 0.5000 0.0000
Br1 0.0000 0.0000 0.5000
Br2 0.0000 0.3355 0.5000
```

---

# 3
Computed, not measured: a relaxed structure of TlCr2Re at the PBE level of DFT.

Properties
* spin magnetization: 3.7 Bohr magnetons per cell
* volume: 16.2 Å³/atom
* distance to the lowest polymorph of the same formula: 0.000 eV/atom
* DFT total energy: -8.04 eV/atom

```
data_TlCr2Re
_chemical_formula_sum 'Tl1 Cr2 Re1'
_cell_length_a 3.0178
_cell_length_b 3.0178
_cell_length_c 7.1087
_cell_angle_alpha 90.00
_cell_angle_beta 90.00
_cell_angle_gamma 90.00
_symmetry_space_group_name_H-M 'P 4/m m m'
_symmetry_Int_Tables_number 123
_symmetry_space_group_name_Hall '-P 4 2'
loop_
_atom_site_label
_atom_site_fract_x
_atom_site_fract_y
_atom_site_fract_z
Tl1 0.0000 0.0000 0.0000
Cr1 0.5000 0.5000 0.2948
Re1 0.0000 0.0000 0.5000
```

---

# 4
Computed, not measured: a relaxed structure of AlIn2Fe at the PBE level of DFT.

Properties
* spin magnetization: 4.3 Bohr magnetons per cell
* volume: 19.2 Å³/atom
* DFT total energy: -4.22 eV/atom

```
data_AlIn2Fe
_chemical_formula_sum 'Al3 In6 Fe3'
_cell_length_a 3.1506
_cell_length_b 3.1506
_cell_length_c 26.7725
_cell_angle_alpha 90.00
_cell_angle_beta 90.00
_cell_angle_gamma 120.00
_symmetry_space_group_name_H-M 'R 3 m'
_symmetry_Int_Tables_number 160
_symmetry_space_group_name_Hall 'R 3 -2"'
loop_
_atom_site_label
_atom_site_fract_x
_atom_site_fract_y
_atom_site_fract_z
Al1 0.0000 0.0000 0.0000
In1 0.0000 0.0000 0.2395
In2 0.0000 0.0000 0.4706
Fe1 0.0000 0.0000 0.7286
```

---

# 5
Computed, not measured: a relaxed structure of Mg2SnF6 at the PBE level of DFT.

Properties
* spin magnetization: 0.0 Bohr magnetons per cell
* volume: 14.1 Å³/atom
* E_form (uncorrected): -3101 meV/atom
* DFT total energy: -5.15 eV/atom

```
data_Mg2SnF6
_chemical_formula_sum 'Mg2 Sn1 F6'
_cell_length_a 5.3424
_cell_length_b 5.3424
_cell_length_c 5.1277
_cell_angle_alpha 90.00
_cell_angle_beta 90.00
_cell_angle_gamma 120.00
_symmetry_space_group_name_H-M 'P -3 1 m'
_symmetry_Int_Tables_number 162
_symmetry_space_group_name_Hall '-P 3 2'
loop_
_atom_site_label
_atom_site_fract_x
_atom_site_fract_y
_atom_site_fract_z
Mg1 0.3333 0.6667 0.0000
Sn1 0.0000 0.0000 0.5000
F1 0.0000 0.3660 0.2115
```

---

# 6
Computed, not measured: a relaxed structure of SrSnBi2 at the PBE level of DFT.

Properties
* spin magnetization: 0.0 Bohr magnetons per cell
* volume: 32.7 Å³/atom
* DFT total energy: -3.70 eV/atom

```
data_SrSnBi2
_chemical_formula_sum 'Sr1 Sn1 Bi2'
_cell_length_a 4.3332
_cell_length_b 4.3332
_cell_length_c 6.9762
_cell_angle_alpha 90.00
_cell_angle_beta 90.00
_cell_angle_gamma 90.00
_symmetry_space_group_name_H-M 'P 4/m m m'
_symmetry_Int_Tables_number 123
_symmetry_space_group_name_Hall '-P 4 2'
loop_
_atom_site_label
_atom_site_fract_x
_atom_site_fract_y
_atom_site_fract_z
Sr1 0.0000 0.0000 0.0000
Sn1 0.0000 0.0000 0.5000
Bi1 0.5000 0.5000 0.2650
```